Here is TaCIO2 after structural relaxation from the Alexandria database. Energies are from PBE.

Properties
Total magnetization, μB/f.u.: 1.46
Electronic total energy, eV per atom: -6.75
Offset from the most stable computed form, eV per atom: 0.281
Raw formation energy, eV per atom: -0.239

Lattice parameters (Å, degrees): 3.8693 3.8693 6.1164 90.00 90.00 90.00
Space group P4/mmm (No. 123)
Symmetry-distinct sites (fractional):
Ta 0.0000 0.0000 0.0000 (multiplicity 1)
C 0.5000 0.5000 0.5000 (multiplicity 1)
I 0.0000 0.0000 0.5000 (multiplicity 1)
O 0.0000 0.5000 0.0000 (multiplicity 2)

***

Here is La8TbPm3 after structural relaxation from the Alexandria database. Energies are from PBE.

Properties
Total magnetization, μB/f.u.: 0.00
Electronic total energy, eV per atom: -4.57
ΔH_f (0 K), eV/atom: 0.29

Lattice parameters (Å, degrees): 6.8607 11.2895 11.8087 90.00 90.00 90.00
Space group Immm (No. 71)
Symmetry-distinct sites (fractional):
La 0.0000 0.1638 0.2479 (multiplicity 8)
La 0.2234 0.2719 0.0000 (multiplicity 8)
Tb 0.0000 0.0000 0.0000 (multiplicity 2)
Pm 0.0000 0.0000 0.5000 (multiplicity 2)
Pm 0.0000 0.5000 0.2425 (multiplicity 4)

***

Here is Tb2Nd5Hg4 after structural relaxation from the Alexandria database. Energies are from PBE.

Properties
Total magnetization, μB/f.u.: 0.00
Electronic total energy, eV per atom: -3.32
ΔH_f (0 K), eV/atom: -0.20

Lattice parameters (Å, degrees): 21.9981 3.7942 8.5746 90.00 102.85 90.00
Space group C2/m (No. 12)
Symmetry-distinct sites (fractional):
Tb 0.0726 0.0000 0.1415 (multiplicity 4)
Nd 0.0000 0.0000 0.5000 (multiplicity 2)
Nd 0.1526 0.5000 0.4830 (multiplicity 4)
Nd 0.1751 0.5000 0.9393 (multiplicity 4)
Hg 0.0335 0.5000 0.8013 (multiplicity 4)
Hg 0.2162 0.0000 0.2559 (multiplicity 4)

***

Here is CaPr2Gd after structural relaxation from the Alexandria database. Energies are from PBE.

Properties
Total magnetization, μB/f.u.: 7.91
Electronic total energy, eV per atom: -6.30
Offset from the most stable computed form, eV per atom: 0.029
ΔH_f (0 K), eV/atom: 0.11

Lattice parameters (Å, degrees): 8.3263 8.3263 8.3263 90.00 90.00 90.00
Space group Fm-3m (No. 225)
Symmetry-distinct sites (fractional):
Ca 0.0000 0.0000 0.0000 (multiplicity 4)
Pr 0.2500 0.2500 0.2500 (multiplicity 8)
Gd 0.0000 0.0000 0.5000 (multiplicity 4)

***

Here is Ba2CuSb2 after structural relaxation from the Alexandria database. Energies are from PBE.

Properties
Total magnetization, μB/f.u.: 0.00
Electronic total energy, eV per atom: -4.02
Offset from the most stable computed form, eV per atom: 0.000
Raw formation energy, eV per atom: -0.783

Lattice parameters (Å, degrees): 4.6677 6.7402 11.9694 95.98 101.23 110.25
Space group P-1 (No. 2)
Symmetry-distinct sites (fractional):
Ba 0.0506 0.2419 0.3589 (multiplicity 2)
Ba 0.1793 0.7645 0.0941 (multiplicity 2)
Cu 0.2559 0.3353 0.6793 (multiplicity 2)
Sb 0.3587 0.8120 0.4036 (multiplicity 2)
Sb 0.4948 0.3424 0.1472 (multiplicity 2)

***

Here is LiCeTe2 after structural relaxation from the Alexandria database. Energies are from PBE.

Properties
Total magnetization, μB/f.u.: 1.00
Electronic total energy, eV per atom: -4.71
Raw formation energy, eV per atom: -1.177

Lattice parameters (Å, degrees): 4.4306 4.4306 22.5803 90.00 90.00 120.00
Space group R3m (No. 160, hexagonal axes)
Symmetry-distinct sites (fractional):
Li 0.0000 0.0000 0.0000 (multiplicity 3)
Ce 0.0000 0.0000 0.1754 (multiplicity 3)
Te 0.0000 0.0000 0.5928 (multiplicity 3)
Te 0.0000 0.0000 0.7598 (multiplicity 3)